Entry 1:
Entry from Alexandria: crystalline Pm4SiSnTe2 at its relaxed geometry (PBE-GGA).

The space group is P2/m (No. 10) and the conventional cell measures 7.6715, 4.3976 and 7.7466 Å, with angles of 90.00, 109.04 and 90.00 degrees. Symmetry generates all atoms from Pm at (0.2325, 0.0000, 0.2267), Pm at (0.2450, 0.5000, 0.7649), Si at (0.0000, 0.5000, 0.0000), Sn at (0.5000, 0.0000, 0.0000), Te at (0.0000, 0.0000, 0.5000) and Te at (0.5000, 0.5000, 0.5000).

Its magnetization is 0.000 μB per cell. Its uncorrected formation energy is -1.106 eV/atom.

=====

Entry 2:
Entry from Alexandria: crystalline SbW2Br at its relaxed geometry (PBE-GGA).

The space group is C2/m (No. 12) and the conventional cell measures 8.8668, 3.0764 and 5.4713 Å, with angles of 90.00, 101.88 and 90.00 degrees. Symmetry generates all atoms from Sb at (0.0000, 0.0000, 0.0000), W at (0.2475, 0.5000, 0.2600) and Br at (0.0000, 0.5000, 0.5000).

Its magnetization is 0.000 μB per cell. The calculation puts the excess energy over the best structure of this formula in the dataset at 0.799 eV/atom. Its uncorrected formation energy is 0.999 eV/atom.

=====

no.,DOS at the Fermi energy (states/eV/cell)
1,1.807
2,6.033